No. 1
## Ba2Ga5Ru2 (PBE)

Data for a geometry-optimized Ba2Ga5Ru2 structure.

Properties
Total energy, eV for the cell shown: -40.9
Formation energy from the elements, meV/atom: -369
Volume, Å³ per cell: 240.1

Cell: 4.811 4.811 10.374 Å, 90.00 90.00 90.00°
Fractional positions:
Ba (0.000, 0.000, 0.000)
Ba (0.000, 0.000, 0.500)
Ga (0.000, 0.500, 0.249)
Ga (0.000, 0.500, 0.751)
Ga (0.500, 0.000, 0.249)
Ga (0.500, 0.000, 0.751)
Ga (0.500, 0.500, 0.500)
Ru (0.500, 0.500, 0.272)
Ru (0.500, 0.500, 0.728)

=====

No. 2
## LiPuTlS3 (PBE)

Data for a geometry-optimized LiPuTlS3 structure.

Properties
Raw formation energy, eV/atom: -1.137
Total energy, eV for the cell shown: -75.6
Volume, Å³ per cell: 305.3

Cell: 8.715 4.062 8.955 Å, 90.00 105.64 90.00°
Fractional positions:
Li (0.078, 0.250, 0.095)
Li (0.922, 0.750, 0.905)
Pu (0.326, 0.750, 0.346)
Pu (0.674, 0.250, 0.654)
Tl (0.203, 0.250, 0.752)
Tl (0.797, 0.750, 0.248)
S (0.135, 0.250, 0.374)
S (0.204, 0.750, 0.044)
S (0.466, 0.750, 0.655)
S (0.534, 0.250, 0.345)
S (0.796, 0.250, 0.956)
S (0.865, 0.750, 0.626)

=====

No. 3
## LiPrHfTc (PBE)

Data for a geometry-optimized LiPrHfTc structure.

Properties
Total energy, eV for the cell shown: -26.9
Formation energy from the elements, meV/atom: 38
Volume, Å³ per cell: 81.4

Cell: 4.864 4.864 4.864 Å, 60.00 60.00 60.00°
Fractional positions:
Li (0.000, 0.000, 0.000)
Pr (0.250, 0.250, 0.250)
Hf (0.750, 0.750, 0.750)
Tc (0.500, 0.500, 0.500)

=====

No. 4
## BiTe2H2 (PBE)

Data for a geometry-optimized BiTe2H2 structure.

Properties
Excess energy over the best structure of this formula in the dataset, eV/atom: 0.080
Total energy, eV for the cell shown: -31.4
Volume, Å³ per cell: 268.6

Cell: 8.536 8.536 3.686 Å, 90.00 90.00 90.00°
Fractional positions:
Bi (0.000, 0.000, 0.000)
Bi (0.500, 0.500, 0.000)
Te (0.174, 0.326, 0.000)
Te (0.326, 0.826, 0.000)
Te (0.674, 0.174, 0.000)
Te (0.826, 0.674, 0.000)
H (0.122, 0.378, 0.500)
H (0.378, 0.878, 0.500)
H (0.622, 0.122, 0.500)
H (0.878, 0.622, 0.500)

=====

No. 5
## CaYHo2Hg4 (PBE)

Data for a geometry-optimized CaYHo2Hg4 structure.

Properties
Total energy, eV for the cell shown: -23.0
Formation energy from the elements, meV/atom: -516
Volume, Å³ per cell: 206.1

Cell: 9.122 9.122 9.122 Å, 33.52 33.52 33.52°
Fractional positions:
Ca (0.000, 0.000, 0.000)
Y (0.500, 0.500, 0.500)
Ho (0.251, 0.251, 0.251)
Ho (0.749, 0.749, 0.749)
Hg (0.126, 0.126, 0.126)
Hg (0.376, 0.376, 0.376)
Hg (0.624, 0.624, 0.624)
Hg (0.874, 0.874, 0.874)

=====

No. 6
## NaCuSn (PBE)

Data for a geometry-optimized NaCuSn structure.

Properties
Total energy, eV for the cell shown: -9.2
Formation energy from the elements, meV/atom: 84
Volume, Å³ per cell: 67.4

Cell: 4.568 4.568 4.568 Å, 60.00 60.00 60.00°
Fractional positions:
Na (0.000, 0.000, 0.000)
Cu (0.750, 0.750, 0.750)
Sn (0.500, 0.500, 0.500)